DFT (PBE-GGA) results for a relaxed structure of LiBe2F.

Values from the calculation:
ΔE to the lowest computed polymorph = 849 meV/atom
Energy relative to the elements, uncorrected = 1.8 eV/f.u.
Symmetry = No. 225
Calculated volume = 51.56 Å³/cell

Lattice parameters (Å, degrees): 4.1779 4.1779 4.1779 60.00 60.00 60.00
Last column: nearest neighbours and their distance in Å.
Atoms (fractional coordinates):
Li 0.0000 0.0000 0.0000  8 Be 2.56
Be 0.2500 0.2500 0.2500  4 F 2.56, 4 Li 2.56
Be 0.7500 0.7500 0.7500  4 F 2.56, 4 Li 2.56
F 0.5000 0.5000 0.5000  8 Be 2.56